(1)
TiFeN2 | PBEsol | optimized geometry

a b c (Å): 2.917 2.917 9.160
angles (deg): 90.00 90.00 120.00
Sites, in units of the cell vectors:
Ti1 0.333 0.667 0.750
Ti2 0.667 0.333 0.250
Fe1 0.000 0.000 0.000
Fe2 0.000 0.000 0.500
N1 0.333 0.667 0.111
N2 0.667 0.333 0.889
N3 0.667 0.333 0.611
N4 0.333 0.667 0.389

Summary:
- symmetry = No. 194
- total magnetic moment (μB/f.u.) = 0.0
- E_form (uncorrected) (kcal/mol of atoms) = -18.98
- DFT total energy (Ry per atom) = -0.6915



(2)
Fe3W3N | PBEsol | optimized geometry

a b c (Å): 7.713 7.713 7.713
angles (deg): 60.00 60.00 60.00
Each line ends with the local moment (μB).
Sites, in units of the cell vectors:
Fe1 0.625 0.625 0.625  0.05
Fe2 0.625 0.125 0.625  0.05
Fe3 0.125 0.625 0.625  0.05
Fe4 0.625 0.625 0.125  0.05
Fe5 0.423 0.423 0.730  -0.01
Fe6 0.520 0.827 0.827  -0.01
Fe7 0.827 0.827 0.827  -0.01
Fe8 0.827 0.520 0.827  -0.01
Fe9 0.827 0.827 0.520  -0.01
Fe10 0.730 0.423 0.423  -0.01
Fe11 0.423 0.730 0.423  -0.01
Fe12 0.423 0.423 0.423  -0.01
W1 0.455 0.045 0.045  0.00
W2 0.205 0.795 0.795  0.00
W3 0.455 0.455 0.045  0.00
W4 0.045 0.455 0.045  0.00
W5 0.455 0.045 0.455  0.00
W6 0.045 0.045 0.455  0.00
W7 0.795 0.795 0.205  0.00
W8 0.205 0.205 0.795  0.00
W9 0.795 0.205 0.205  0.00
W10 0.205 0.795 0.205  0.00
W11 0.795 0.205 0.795  0.00
W12 0.045 0.455 0.455  0.00
N1 0.125 0.125 0.125  0.00
N2 0.125 0.625 0.125  0.00
N3 0.625 0.125 0.125  0.00
N4 0.125 0.125 0.625  0.00

Summary:
- symmetry = No. 227
- total magnetic moment (μB/f.u.) = 0.0
- E_form (uncorrected) (kcal/mol of atoms) = -4.49
- DFT total energy (Ry per atom) = -0.8211



(3)
YFe3N | PBEsol | optimized geometry

a b c (Å): 4.528 4.528 4.528
angles (deg): 90.00 90.00 90.00
Each line ends with the local moment (μB).
Sites, in units of the cell vectors:
Y1 0.000 0.000 0.000  -0.49
Fe1 0.000 0.500 0.000  2.36
Fe2 0.000 0.000 0.500  2.36
Fe3 0.500 0.000 0.000  2.36
N1 0.500 0.500 0.500  0.60

Summary:
- symmetry = No. 221
- total magnetic moment (μB/f.u.) = 7.3
- E_form (uncorrected) (kcal/mol of atoms) = 68.64
- DFT total energy (Ry per atom) = -0.4022



(4)
YFe2N | PBEsol | optimized geometry

a b c (Å): 4.129 4.129 4.129
angles (deg): 60.00 60.00 60.00
Each line ends with the local moment (μB).
Sites, in units of the cell vectors:
Y1 0.500 0.500 0.500  -0.34
Fe1 0.250 0.250 0.250  2.19
Fe2 0.750 0.750 0.750  2.19
N1 0.000 0.000 0.000  0.20

Summary:
- symmetry = No. 225
- total magnetic moment (μB/f.u.) = 4.2
- E_form (uncorrected) (kcal/mol of atoms) = 24.21
- DFT total energy (Ry per atom) = -0.5343



(5)
YFe3N | PBEsol | optimized geometry

a b c (Å): 3.844 3.844 3.844
angles (deg): 90.00 90.00 90.00
Sites, in units of the cell vectors:
Y1 0.500 0.500 0.500
Fe1 0.000 0.500 0.000
Fe2 0.000 0.000 0.500
Fe3 0.500 0.000 0.000
N1 0.000 0.000 0.000

Summary:
- symmetry = No. 221
- total magnetic moment (μB/f.u.) = 0.0
- E_form (uncorrected) (kcal/mol of atoms) = -3.88
- DFT total energy (Ry per atom) = -0.6333



(6)
YFeN2 | PBEsol | optimized geometry

a b c (Å): 3.866 3.866 3.866
angles (deg): 60.00 60.00 60.00
Each line ends with the local moment (μB).
Sites, in units of the cell vectors:
Y1 0.500 0.500 0.500  -0.04
Fe1 0.000 0.000 0.000  1.28
N1 0.250 0.250 0.250  -0.10
N2 0.750 0.750 0.750  -0.10

Summary:
- symmetry = No. 225
- total magnetic moment (μB/f.u.) = 1.0
- E_form (uncorrected) (kcal/mol of atoms) = -4.01
- DFT total energy (Ry per atom) = -0.6162